Entry 1:
Here is crystalline KCoAu2 at its relaxed geometry from the Alexandria database. Energies are from GGA-PBE.

The total magnetization comes out at 1.843 μB/f.u. The formation enthalpy at 0 K comes out at 36 kJ per mole of atoms. Its mass density is 9880 kg/m3. For the density of states at the Fermi level, the calculation gives 0.999 states/eV/atom.

The structure belongs to space group Imm2 (No. 44); the cell edges are 2.800, 5.324 and 11.095 Å and the angles 90.00°, 90.00° and 90.00°. Symmetry generates all atoms from K at (0.000, 0.000, 0.000), Co at (0.000, 0.500, 0.224), Au at (0.000, 0.000, 0.524) and Au at (0.000, 0.500, 0.784).

---

Entry 2:
Here is crystalline CuSn3Pd5 at its relaxed geometry from the Alexandria database. Energies are from GGA-PBE.

The total magnetization comes out at 0.000 μB/f.u. The formation enthalpy at 0 K comes out at -21 kJ per mole of atoms. Its mass density is 9401 kg/m3. For the density of states at the Fermi level, the calculation gives 0.508 states/eV/atom.

The structure belongs to space group I4/mcm (No. 140); the cell edges are 6.789, 6.789 and 14.590 Å and the angles 90.00°, 90.00° and 90.00°. Symmetry generates all atoms from Cu at (0.000, 0.500, 0.250), Sn at (0.000, 0.000, 0.250), Sn at (0.138, 0.362, 0.000), Pd at (0.000, 0.000, 0.000) and Pd at (0.227, 0.273, 0.345).

---

Entry 3:
Here is crystalline Ba2NaCd5 at its relaxed geometry from the Alexandria database. Energies are from GGA-PBE.

The total magnetization comes out at 0.000 μB/f.u. The formation enthalpy at 0 K comes out at -20 kJ per mole of atoms. Its mass density is 5482 kg/m3. For the density of states at the Fermi level, the calculation gives 0.714 states/eV/atom.

The structure belongs to space group Cmcm (No. 63); the cell edges are 5.204, 18.926 and 10.576 Å and the angles 90.00°, 90.00° and 90.00°. Symmetry generates all atoms from Ba at (0.000, 0.000, 0.000), Ba at (0.000, 0.206, 0.250), Na at (0.000, 0.441, 0.750), Cd at (0.000, 0.185, 0.610), Cd at (0.000, 0.343, 0.518) and Cd at (0.000, 0.400, 0.250).

---

Among the records above, which one has the highest formation enthalpy at 0 K?
KCoAu2